No. 1
{
  "formula": "SrZn3Si",
  "functional": "GGA-PBE",
  "state": "optimized geometry",
  "lattice": [[5.919, 0.000, 0.000], [0.000, 5.919, 0.000], [0.000, 0.000, 5.919]],
  "species": ["Sr", "Zn", "Zn", "Zn", "Si"],
  "frac_coords": [[0.000, 0.000, 0.000], [0.000, 0.000, 0.500], [0.000, 0.500, 0.000], [0.500, 0.000, 0.000], [0.500, 0.500, 0.500]],
  "e_form_raw_ev_per_atom": 1.284,
  "rho_g_cm3": 2.5,
  "dos_ef_per_ev_cell": 3.86,
  "sg": "No. 221",
  "final_energy_ev_per_cell": -4.51
}



No. 2
{
  "formula": "Sr2ZnSi",
  "functional": "GGA-PBE",
  "state": "optimized geometry",
  "lattice": [[-2.918, 2.918, 9.282], [2.918, -2.918, 9.282], [2.918, 2.918, -9.282]],
  "species": ["Sr", "Sr", "Sr", "Sr", "Zn", "Zn", "Si", "Si"],
  "frac_coords": [[0.106, 0.625, 0.981], [0.375, 0.356, 0.481], [0.644, 0.125, 0.019], [0.875, 0.894, 0.519], [0.250, 0.750, 0.500], [0.500, 0.500, 0.000], [0.000, 0.000, 0.000], [0.750, 0.250, 0.500]],
  "e_form_raw_ev_per_atom": 0.314,
  "rho_g_cm3": 2.8,
  "dos_ef_per_ev_cell": 6.41,
  "sg": "No. 122",
  "final_energy_ev_per_cell": -17.61
}



No. 3
{
  "formula": "SrZr2Si",
  "functional": "GGA-PBE",
  "state": "optimized geometry",
  "lattice": [[5.581, 0.000, 0.000], [0.000, 3.195, 0.000], [-1.980, 0.000, 5.229]],
  "species": ["Sr", "Zr", "Zr", "Si"],
  "frac_coords": [[0.000, 0.000, 0.000], [0.000, 0.500, 0.500], [0.500, 0.000, 0.500], [0.500, 0.500, 0.000]],
  "e_form_raw_ev_per_atom": 0.279,
  "rho_g_cm3": 5.3,
  "dos_ef_per_ev_cell": 3.83,
  "sg": "No. 10",
  "final_energy_ev_per_cell": -23.08
}



No. 4
{
  "formula": "SrZr2Si",
  "functional": "GGA-PBE",
  "state": "optimized geometry",
  "lattice": [[-2.247, 2.247, 4.500], [2.247, -2.247, 4.500], [2.247, 2.247, -4.500]],
  "species": ["Sr", "Zr", "Zr", "Si"],
  "frac_coords": [[0.000, 0.000, 0.000], [0.250, 0.750, 0.500], [0.750, 0.250, 0.500], [0.500, 0.500, 0.000]],
  "e_form_raw_ev_per_atom": 0.203,
  "rho_g_cm3": 5.4,
  "dos_ef_per_ev_cell": 3.04,
  "sg": "No. 139",
  "final_energy_ev_per_cell": -23.39
}



No. 5
{
  "formula": "SrZr2Si",
  "functional": "GGA-PBE",
  "state": "optimized geometry",
  "lattice": [[3.603, 0.000, 0.000], [0.000, 3.628, 0.000], [0.000, 0.000, 7.939]],
  "species": ["Sr", "Zr", "Zr", "Si"],
  "frac_coords": [[0.000, 0.000, 0.000], [0.000, 0.000, 0.416], [0.500, 0.500, 0.636], [0.500, 0.500, 0.282]],
  "e_form_raw_ev_per_atom": -0.133,
  "rho_g_cm3": 4.8,
  "dos_ef_per_ev_cell": 3.71,
  "sg": "No. 25",
  "final_energy_ev_per_cell": -24.73
}



No. 6
{
  "formula": "Sr2ZrSi",
  "functional": "GGA-PBE",
  "state": "optimized geometry",
  "lattice": [[3.165, -5.196, 0.000], [3.165, 5.196, 0.000], [-0.015, 0.000, 3.448]],
  "species": ["Sr", "Sr", "Zr", "Si"],
  "frac_coords": [[0.000, 0.500, 0.000], [0.500, 0.000, 0.000], [0.000, 0.000, 0.500], [0.500, 0.500, 0.500]],
  "e_form_raw_ev_per_atom": 0.390,
  "rho_g_cm3": 4.3,
  "dos_ef_per_ev_cell": 4.77,
  "sg": "No. 12",
  "final_energy_ev_per_cell": -15.77
}